LaPmHoAl, relaxed, DFT PBE; total magnetic moment = 0.00 μB per formula unit; space-group type = No. 99; formation enthalpy at 0 K = -0.175 eV per atom; ΔE to the lowest computed polymorph = 0 meV per atom
1.0
3.5646 0.0000 0.0000
0.0000 3.5646 0.0000
0.0000 0.0000 9.3176
La Pm Ho Al
1 1 1 1
direct
0.0000 0.0000 0.0000
0.5000 0.5000 0.6984
0.5000 0.5000 0.2850
0.0000 0.0000 0.4844